Below is a relaxed structure of Sr4ScSe, with properties calculated at the PBE level.

Unit cell a=10.0890 b=10.0890 c=10.0890 alpha=90.00 beta=90.00 gamma=90.00
Space group F-43m (No. 216)
Asymmetric unit:
Sr 0.1244 0.1244 0.1244 x16
Sc 0.2500 0.2500 0.7500 x4
Se 0.0000 0.0000 0.5000 x4

Formation energy without anion corrections: 0.386 eV/atom
M_tot: 2.120 μB/f.u.
E: -0.17430 Ry/atom

Below is a relaxed structure of BaMoPt2, with properties calculated at the PBE level.

Unit cell a=3.9544 b=5.8944 c=8.4541 alpha=90.00 beta=90.00 gamma=90.00
Space group Immm (No. 71)
Asymmetric unit:
Ba 0.0000 0.0000 0.0000 x2
Mo 0.0000 0.0000 0.5000 x2
Pt 0.0000 0.5000 0.1880 x4

E_form: 0.312 eV per atom
M_tot: 0.007 μB/f.u.
Offset from the most stable computed form: 2.282 eV per formula unit
E: -0.43340 Ry/atom

Below is a relaxed structure of PrNd3In4, with properties calculated at the PBE level.

Unit cell a=3.5997 b=7.3445 c=19.1113 alpha=90.00 beta=90.00 gamma=90.00
Space group Immm (No. 71)
Asymmetric unit:
Pr 0.0000 0.0000 0.0000 x2
Nd 0.0000 0.0000 0.5000 x2
Nd 0.0000 0.5000 0.2835 x4
In 0.0000 0.2941 0.1276 x8

E_form: -0.321 eV per atom
M_tot: 0.088 μB/f.u.
Offset from the most stable computed form: 1.393 eV per formula unit
E: -0.29958 Ry/atom

Below is a relaxed structure of Tb2ReB10, with properties calculated at the PBE level.

Unit cell a=5.7603 b=11.4445 c=4.1787 alpha=90.00 beta=90.00 gamma=90.00
Space group Pbam (No. 55)
Asymmetric unit:
Tb 0.2237 0.1331 0.0000 x4
Re 0.0000 0.5000 0.5000 x2
B 0.0623 0.3070 0.5000 x4
B 0.1202 0.9593 0.5000 x4
B 0.1283 0.8026 0.5000 x4
B 0.2272 0.3807 0.2002 x8

E_form: -0.389 eV per atom
M_tot: 0.000 μB/f.u.
E: -0.52887 Ry/atom

Below is a relaxed structure of LiMn2Pb, with properties calculated at the PBE level.

Unit cell a=3.9933 b=3.9933 c=4.1402 alpha=90.00 beta=90.00 gamma=90.00
Space group P4/mmm (No. 123)
Asymmetric unit:
Li 0.0000 0.0000 0.0000 x1
Mn 0.0000 0.5000 0.5000 x2
Pb 0.5000 0.5000 0.0000 x1

E_form: 0.288 eV per atom
M_tot: 6.460 μB/f.u.
E: -0.41912 Ry/atom

Below is a relaxed structure of SnBAs2, with properties calculated at the PBE level.

Unit cell a=6.7048 b=6.7048 c=6.7048 alpha=90.00 beta=90.00 gamma=90.00
Space group Fm-3m (No. 225)
Asymmetric unit:
Sn 0.0000 0.0000 0.0000 x4
B 0.0000 0.0000 0.5000 x4
As 0.2500 0.2500 0.2500 x8

E_form: 1.081 eV per atom
M_tot: 0.000 μB/f.u.
Offset from the most stable computed form: 3.480 eV per formula unit
E: -0.28769 Ry/atom